i | # RbCoCl2, relaxed, DFT PBE
# Calculated volume = 42.78 Å³/atom
# Size of the total moment = 6.0 Bohr magnetons per cell
data_RbCoCl2
_cell_length_a 5.2860
_cell_length_b 5.2860
_cell_length_c 21.2141
_cell_angle_alpha 90.00
_cell_angle_beta 90.00
_cell_angle_gamma 120.00
_space_group_name_H-M_alt 'R -3 m'
_space_group_IT_number 166
_space_group_name_Hall '-R 3 2"'
loop_
_atom_site_label
_atom_site_fract_x
_atom_site_fract_y
_atom_site_fract_z
_atom_site_occupancy
Rb1 0.0000 0.0000 0.0000 1
Co1 0.0000 0.0000 0.5000 1
Cl1 0.0000 0.0000 0.3992 1

***

ii | # RbCoCl2, relaxed, DFT PBE
# Calculated volume = 24.11 Å³/atom
# Size of the total moment = 8.5 Bohr magnetons per cell
data_RbCoCl2
_cell_length_a 7.279
_cell_length_b 7.279
_cell_length_c 7.279
_cell_angle_alpha 90.00
_cell_angle_beta 90.00
_cell_angle_gamma 90.00
_space_group_name_H-M_alt 'F m -3 m'
_space_group_IT_number 225
_space_group_name_Hall '-F 4 2 3'
loop_
_atom_site_label
_atom_site_fract_x
_atom_site_fract_y
_atom_site_fract_z
_atom_site_occupancy
Rb1 0.000 0.000 0.000 1
Co1 0.000 0.000 0.500 1
Cl1 0.250 0.250 0.250 1

***

Most stable of them? i.